PBE-GGA La2YTm6, relaxed; volume = 31.9 Å³/atom; formation energy from the elements = 119 meV/atom
1.0
3.650 -0.008 0.416
1.139 7.969 4.165
-0.326 0.049 9.859
La Y Tm
2 1 6
Direct
0.500 0.831 0.338 La
0.500 0.169 0.662 La
0.000 0.000 0.000 Y
0.163 0.825 0.673 Tm
0.837 0.175 0.327 Tm
0.334 0.338 0.000 Tm
0.163 0.498 0.327 Tm
0.837 0.502 0.673 Tm
0.666 0.662 0.000 Tm